No. 1
DFT (PBE-GGA) results for a geometry-optimized PrHoAsS structure.

Cell lengths 7.481, 7.481, 7.481 Å; angles 31.22, 31.22, 31.22 degrees
Positions (direct):
1 Pr 0.000 0.000 0.000
2 Ho 0.173 0.173 0.173
3 As 0.581 0.581 0.581
4 S 0.760 0.760 0.760

Output
The uncorrected energy is -6.22 eV/atom. The formation energy (no corrections) is -1.6866 eV per atom.

---

No. 2
DFT (PBE-GGA) results for a geometry-optimized PrHoSbAs structure.

Cell lengths 7.744, 7.744, 7.744 Å; angles 32.13, 32.13, 32.13 degrees
Positions (direct):
1 Pr 0.000 0.000 0.000
2 Ho 0.181 0.181 0.181
3 Sb 0.762 0.762 0.762
4 As 0.585 0.585 0.585

Output
The uncorrected energy is -5.76 eV/atom. The formation energy (no corrections) is -1.2230 eV per atom.

---

No. 3
DFT (PBE-GGA) results for a geometry-optimized Pr2HoScAs4 structure.

Cell lengths 7.180, 4.163, 7.201 Å; angles 90.00, 109.54, 90.00 degrees
Positions (direct):
1 Pr 0.000 0.000 0.000
2 Pr 0.000 0.500 0.500
3 Ho 0.500 0.000 0.500
4 Sc 0.500 0.500 0.000
5 As 0.267 0.500 0.250
6 As 0.271 0.000 0.763
7 As 0.729 0.000 0.237
8 As 0.733 0.500 0.750

Output
The uncorrected energy is -6.33 eV/atom. The formation energy comes out at -1444.1 meV per atom.

---

Number 1: spin magnetization 0.40 μB per cell. Number 2: spin magnetization 0.00 μB per cell. Number 3: spin magnetization 0.00 μB per cell.